# Sr4CaTl15, optimized geometry, DFT PBE
data_Sr4CaTl15
_cell_length_a 4.958
_cell_length_b 4.958
_cell_length_c 24.882
_cell_angle_alpha 90.00
_cell_angle_beta 90.00
_cell_angle_gamma 90.00
_symmetry_space_group_name_H-M 'P 4/m m m'
_symmetry_Int_Tables_number 123
_symmetry_space_group_name_Hall '-P 4 2'
loop_
_atom_site_label
_atom_site_type_symbol
_atom_site_fract_x
_atom_site_fract_y
_atom_site_fract_z
Sr1 Sr 0.000 0.000 0.101
Sr2 Sr 0.000 0.000 0.304
Ca1 Ca 0.000 0.000 0.500
Tl1 Tl 0.000 0.500 0.000
Tl2 Tl 0.000 0.500 0.202
Tl3 Tl 0.000 0.500 0.404
Tl4 Tl 0.500 0.500 0.102
Tl5 Tl 0.500 0.500 0.302
Tl6 Tl 0.500 0.500 0.500
# Energy of formation from the pure elements, eV/atom: -0.253
# M_tot, μB/f.u.: 0.0

---

# CsTlPIr2, optimized geometry, DFT PBE
data_CsTlPIr2
_cell_length_a 5.119
_cell_length_b 5.119
_cell_length_c 6.643
_cell_angle_alpha 90.00
_cell_angle_beta 90.00
_cell_angle_gamma 90.00
_symmetry_space_group_name_H-M 'P 4/m m m'
_symmetry_Int_Tables_number 123
_symmetry_space_group_name_Hall '-P 4 2'
loop_
_atom_site_label
_atom_site_type_symbol
_atom_site_fract_x
_atom_site_fract_y
_atom_site_fract_z
Cs1 Cs 0.000 0.000 0.000
Tl1 Tl 0.000 0.000 0.500
P1 P 0.500 0.500 0.000
Ir1 Ir 0.000 0.500 0.500
# Energy of formation from the pure elements, eV/atom: 1.977
# M_tot, μB/f.u.: 3.6

---

# Na2HfH, optimized geometry, DFT PBE
data_Na2HfH
_cell_length_a 6.416
_cell_length_b 6.416
_cell_length_c 8.932
_cell_angle_alpha 90.00
_cell_angle_beta 90.00
_cell_angle_gamma 90.00
_symmetry_space_group_name_H-M 'I -4 2 d'
_symmetry_Int_Tables_number 122
_symmetry_space_group_name_Hall 'I -4 2bw'
loop_
_atom_site_label
_atom_site_type_symbol
_atom_site_fract_x
_atom_site_fract_y
_atom_site_fract_z
Na1 Na 0.044 0.250 0.125
Hf1 Hf 0.000 0.000 0.500
H1 H 0.000 0.000 0.000
# M_tot, μB/f.u.: 3.1
# Uncorrected energy, eV/atom: -3.100

---

# Mg2Al12Pt7, optimized geometry, DFT PBE
data_Mg2Al12Pt7
_cell_length_a 10.6976
_cell_length_b 10.6976
_cell_length_c 3.4626
_cell_angle_alpha 90.00
_cell_angle_beta 90.00
_cell_angle_gamma 120.00
_symmetry_space_group_name_H-M 'P -6'
_symmetry_Int_Tables_number 174
loop_
_symmetry_equiv_pos_as_xyz
'x,y,z'
'-x+y,-x,-z'
'-y,x-y,z'
'x,y,-z'
'-x+y,-x,z'
'-y,x-y,-z'
loop_
_atom_site_label
_atom_site_type_symbol
_atom_site_fract_x
_atom_site_fract_y
_atom_site_fract_z
Mg1 Mg 0.0000 0.0000 0.0000
Mg2 Mg 0.3333 0.6667 0.5000
Al1 Al 0.0542 0.2787 0.5000
Al2 Al 0.1102 0.7178 0.0000
Al3 Al 0.3956 0.1644 0.0000
Al4 Al 0.5138 0.4144 0.5000
Pt1 Pt 0.0818 0.4684 0.0000
Pt2 Pt 0.2411 0.1957 0.5000
Pt3 Pt 0.6667 0.3333 0.0000
# Energy of formation from the pure elements, eV/atom: -0.856
# M_tot, μB/f.u.: 0.0

---

# AsN, optimized geometry, DFT PBE
data_AsN
_cell_length_a 2.9759
_cell_length_b 2.9759
_cell_length_c 4.4405
_cell_angle_alpha 90.00
_cell_angle_beta 90.00
_cell_angle_gamma 120.00
_symmetry_space_group_name_H-M 'P 3 m 1'
_symmetry_Int_Tables_number 156
loop_
_symmetry_equiv_pos_as_xyz
'x,y,z'
'-y,x-y,z'
'-x+y,-x,z'
'-y,-x,z'
'-x+y,y,z'
'x,x-y,z'
loop_
_atom_site_label
_atom_site_type_symbol
_atom_site_fract_x
_atom_site_fract_y
_atom_site_fract_z
As1 As 0.0000 0.0000 0.0000
N1 N 0.6667 0.3333 0.2182
# M_tot, μB/f.u.: 0.0
# Uncorrected energy, eV/atom: -5.890

---

# Nd2TiAl4Pt3, optimized geometry, DFT PBE
data_Nd2TiAl4Pt3
_cell_length_a 4.226
_cell_length_b 4.226
_cell_length_c 10.987
_cell_angle_alpha 90.00
_cell_angle_beta 90.00
_cell_angle_gamma 90.00
_symmetry_space_group_name_H-M 'P -4 m 2'
_symmetry_Int_Tables_number 115
loop_
_symmetry_equiv_pos_as_xyz
'x,y,z'
'y,-x,-z'
'-x,-y,z'
'-y,x,-z'
'-x,y,z'
'-y,-x,-z'
'x,-y,z'
'y,x,-z'
loop_
_atom_site_label
_atom_site_type_symbol
_atom_site_fract_x
_atom_site_fract_y
_atom_site_fract_z
Nd1 Nd 0.000 0.500 0.248
Ti1 Ti 0.000 0.000 0.500
Al1 Al 0.000 0.000 0.000
Al2 Al 0.000 0.500 0.644
Al3 Al 0.500 0.500 0.000
Pt1 Pt 0.000 0.500 0.872
Pt2 Pt 0.500 0.500 0.500
# Energy of formation from the pure elements, eV/atom: -0.918
# M_tot, μB/f.u.: 0.0

---

# Tb2Sm3Y, optimized geometry, DFT PBE
data_Tb2Sm3Y
_cell_length_a 11.207
_cell_length_b 12.355
_cell_length_c 6.665
_cell_angle_alpha 90.00
_cell_angle_beta 90.00
_cell_angle_gamma 90.00
_symmetry_space_group_name_H-M 'I b a m'
_symmetry_Int_Tables_number 72
_symmetry_space_group_name_Hall '-I 2 2c'
loop_
_atom_site_label
_atom_site_type_symbol
_atom_site_fract_x
_atom_site_fract_y
_atom_site_fract_z
Tb1 Tb 0.244 0.170 0.000
Sm1 Sm 0.000 0.000 0.250
Sm2 Sm 0.000 0.261 0.250
Y1 Y 0.000 0.500 0.000
# Energy of formation from the pure elements, eV/atom: 0.586
# M_tot, μB/f.u.: 0.0

---

# Sm3SnO6, optimized geometry, DFT PBE
data_Sm3SnO6
_cell_length_a 9.222
_cell_length_b 11.504
_cell_length_c 5.769
_cell_angle_alpha 90.00
_cell_angle_beta 90.00
_cell_angle_gamma 90.00
_symmetry_space_group_name_H-M 'C m c 21'
_symmetry_Int_Tables_number 36
loop_
_symmetry_equiv_pos_as_xyz
'x,y,z'
'-x,-y,z+1/2'
'-x,y,z'
'x,-y,z+1/2'
'x+1/2,y+1/2,z'
'-x+1/2,-y+1/2,z+1/2'
'-x+1/2,y+1/2,z'
'x+1/2,-y+1/2,z+1/2'
loop_
_atom_site_label
_atom_site_type_symbol
_atom_site_fract_x
_atom_site_fract_y
_atom_site_fract_z
Sm1 Sm 0.000 0.100 0.000
Sm2 Sm 0.198 0.393 0.055
Sn1 Sn 0.000 0.332 0.565
O1 O 0.000 0.274 0.212
O2 O 0.000 0.482 0.811
O3 O 0.157 0.241 0.754
O4 O 0.160 0.016 0.276
# M_tot, μB/f.u.: 0.0
# Uncorrected energy, eV/atom: -7.672

---

# NaZnHg2, optimized geometry, DFT PBE
data_NaZnHg2
_cell_length_a 4.1872
_cell_length_b 4.1872
_cell_length_c 20.6335
_cell_angle_alpha 90.00
_cell_angle_beta 90.00
_cell_angle_gamma 120.00
_symmetry_space_group_name_H-M 'R -3 m'
_symmetry_Int_Tables_number 166
_symmetry_space_group_name_Hall '-R 3 2"'
loop_
_atom_site_label
_atom_site_type_symbol
_atom_site_fract_x
_atom_site_fract_y
_atom_site_fract_z
Na1 Na 0.0000 0.0000 0.0000
Zn1 Zn 0.0000 0.0000 0.5000
Hg1 Hg 0.0000 0.0000 0.2368
# Energy of formation from the pure elements, eV/atom: -0.048
# M_tot, μB/f.u.: 0.0

---

# TlP2Br, optimized geometry, DFT PBE
data_TlP2Br
_cell_length_a 3.387
_cell_length_b 3.387
_cell_length_c 9.346
_cell_angle_alpha 90.00
_cell_angle_beta 90.00
_cell_angle_gamma 90.00
_symmetry_space_group_name_H-M 'P 4 m m'
_symmetry_Int_Tables_number 99
loop_
_symmetry_equiv_pos_as_xyz
'x,y,z'
'-y,x,z'
'-x,-y,z'
'y,-x,z'
'-x,y,z'
'y,x,z'
'x,-y,z'
'-y,-x,z'
loop_
_atom_site_label
_atom_site_type_symbol
_atom_site_fract_x
_atom_site_fract_y
_atom_site_fract_z
Tl1 Tl 0.000 0.000 0.000
P1 P 0.000 0.000 0.603
P2 P 0.500 0.500 0.581
Br1 Br 0.500 0.500 0.204
# M_tot, μB/f.u.: 0.0
# Uncorrected energy, eV/atom: -3.640

---

# NiAsN2, optimized geometry, DFT PBE
data_NiAsN2
_cell_length_a 4.573
_cell_length_b 4.573
_cell_length_c 8.691
_cell_angle_alpha 90.00
_cell_angle_beta 90.00
_cell_angle_gamma 90.00
_symmetry_space_group_name_H-M 'I -4 2 d'
_symmetry_Int_Tables_number 122
_symmetry_space_group_name_Hall 'I -4 2bw'
loop_
_atom_site_label
_atom_site_type_symbol
_atom_site_fract_x
_atom_site_fract_y
_atom_site_fract_z
Ni1 Ni 0.000 0.000 0.000
As1 As 0.000 0.000 0.500
N1 N 0.228 0.250 0.625
# M_tot, μB/f.u.: 1.0
# Uncorrected energy, eV/atom: -6.222

---

# Y2TeBr, optimized geometry, DFT PBE
data_Y2TeBr
_cell_length_a 4.0847
_cell_length_b 4.0847
_cell_length_c 23.9807
_cell_angle_alpha 90.00
_cell_angle_beta 90.00
_cell_angle_gamma 120.00
_symmetry_space_group_name_H-M 'R -3 m'
_symmetry_Int_Tables_number 166
_symmetry_space_group_name_Hall '-R 3 2"'
loop_
_atom_site_label
_atom_site_type_symbol
_atom_site_fract_x
_atom_site_fract_y
_atom_site_fract_z
Y1 Y 0.0000 0.0000 0.2425
Te1 Te 0.0000 0.0000 0.5000
Br1 Br 0.0000 0.0000 0.0000
# M_tot, μB/f.u.: 0.0
# Uncorrected energy, eV/atom: -5.459